(1)
A plane-wave DFT calculation with GGA-PBEsol was carried out for crystalline TaInRh2 at its relaxed geometry.

```
TaInRh2
1.0
2.9283 0.0000 0.0000
0.0000 2.9283 0.0000
0.0000 0.0000 7.3716
Ta In Rh
1 1 2
Direct
0.0000 0.0000 0.0000
0.0000 0.0000 0.5000
0.5000 0.5000 0.2413
0.5000 0.5000 0.7587
```

Properties
Uncorrected energy: -8.436 eV per atom
Symmetry: P4/mmm, No. 123

---

(2)
A plane-wave DFT calculation with GGA-PBEsol was carried out for crystalline BaNbSbTe2 at its relaxed geometry.

```
BaNbSbTe2
1.0
6.1155 0.0000 0.0000
0.0000 6.1155 0.0000
0.0000 0.0000 5.9448
Ba Nb Sb Te
1 1 1 2
Direct
0.0000 0.0000 0.0000
0.5000 0.5000 0.5000
0.0000 0.0000 0.5000
0.0000 0.5000 0.0000
0.5000 0.0000 0.0000
```

Properties
E_form (uncorrected): 1.425 eV per atom
Uncorrected energy: -3.491 eV per atom
Symmetry: P4/mmm, No. 123

---

(3)
A plane-wave DFT calculation with GGA-PBEsol was carried out for crystalline YTe2SeI at its relaxed geometry.

```
YTe2SeI
1.0
5.8047 0.0000 0.0000
0.0000 5.8047 0.0000
0.0000 0.0000 5.6783
Y Te Se I
1 2 1 1
Direct
0.0000 0.0000 0.0000
0.0000 0.5000 0.0000
0.5000 0.0000 0.0000
0.5000 0.5000 0.5000
0.0000 0.0000 0.5000
```

Properties
E_form (uncorrected): 0.021 eV per atom
Uncorrected energy: -3.878 eV per atom
Symmetry: P4/mmm, No. 123

---

(4)
A plane-wave DFT calculation with GGA-PBEsol was carried out for crystalline CaNb2Te2 at its relaxed geometry.

```
CaNb2Te2
1.0
-1.9848 1.9848 7.6490
1.9848 -1.9848 7.6490
1.9848 1.9848 -7.6490
Ca Nb Te
1 2 2
Direct
0.0000 0.0000 0.0000
0.2500 0.7500 0.5000
0.7500 0.2500 0.5000
0.3837 0.3837 0.0000
0.6163 0.6163 0.0000
```

Properties
E_form (uncorrected): -0.492 eV per atom
Uncorrected energy: -6.657 eV per atom
Symmetry: I4/mmm, No. 139

---

(5)
A plane-wave DFT calculation with GGA-PBEsol was carried out for crystalline InBi3O at its relaxed geometry.

```
InBi3O
1.0
5.6447 0.0000 0.0000
0.0000 5.6447 0.0000
0.0000 0.0000 5.6447
In Bi O
1 3 1
Direct
0.0000 0.0000 0.0000
0.0000 0.0000 0.5000
0.0000 0.5000 0.0000
0.5000 0.0000 0.0000
0.5000 0.5000 0.5000
```

Properties
E_form (uncorrected): 1.148 eV per atom
Uncorrected energy: -3.070 eV per atom
Symmetry: Pm-3m, No. 221

---

(6)
A plane-wave DFT calculation with GGA-PBEsol was carried out for crystalline HgPb2Au at its relaxed geometry.

```
HgPb2Au
1.0
3.4763 0.0000 0.0000
0.0000 3.4763 0.0000
0.0000 0.0000 8.0813
Hg Pb Au
1 2 1
Direct
0.0000 0.0000 0.0000
0.0000 0.0000 0.5832
0.5000 0.5000 0.2546
0.5000 0.5000 0.8036
```

Properties
ΔE to the lowest computed polymorph: 25 meV per atom
Uncorrected energy: -3.108 eV per atom
Symmetry: P4mm, No. 99

---

(7)
A plane-wave DFT calculation with GGA-PBEsol was carried out for crystalline Dy2Re3Si5 at its relaxed geometry.

```
Dy2Re3Si5
1.0
10.9017 0.0000 0.0000
0.0000 10.9017 0.0000
0.0000 0.0000 5.4555
Dy Re Si
8 12 20
Direct
0.0775 0.2370 0.0000
0.2370 0.9225 0.0000
0.2630 0.4225 0.5000
0.4225 0.7370 0.5000
0.5775 0.2630 0.5000
0.7370 0.5775 0.5000
0.7630 0.0775 0.0000
0.9225 0.7630 0.0000
0.0000 0.5000 0.2500
0.0000 0.5000 0.7500
0.1227 0.8529 0.5000
0.1471 0.1227 0.5000
0.3529 0.6227 0.0000
0.3773 0.3529 0.0000
0.5000 0.0000 0.2500
0.5000 0.0000 0.7500
0.6227 0.6471 0.0000
0.6471 0.3773 0.0000
0.8529 0.8773 0.5000
0.8773 0.1471 0.5000
0.0000 0.0000 0.2401
0.0000 0.0000 0.7599
0.0290 0.3138 0.5000
0.1721 0.6721 0.2500
0.1721 0.6721 0.7500
0.1862 0.4710 0.0000
0.3138 0.9710 0.5000
0.3279 0.1721 0.2500
0.3279 0.1721 0.7500
0.4710 0.8138 0.0000
0.5000 0.5000 0.2599
0.5000 0.5000 0.7401
0.5290 0.1862 0.0000
0.6721 0.8279 0.2500
0.6721 0.8279 0.7500
0.6862 0.0290 0.5000
0.8138 0.5290 0.0000
0.8279 0.3279 0.2500
0.8279 0.3279 0.7500
0.9710 0.6862 0.5000
```

Properties
E_form (uncorrected): -0.656 eV per atom
Uncorrected energy: -8.525 eV per atom
Symmetry: P4/mnc, No. 128

---

(8)
A plane-wave DFT calculation with GGA-PBEsol was carried out for crystalline LiRe4 at its relaxed geometry.

```
LiRe4
1.0
-2.9919 2.9919 1.9714
2.9919 -2.9919 1.9714
2.9919 2.9919 -1.9714
Li Re
1 4
Direct
0.0000 0.0000 0.0000
0.2060 0.4118 0.6177
0.4118 0.7940 0.2058
0.5882 0.2060 0.7942
0.7940 0.5882 0.3823
```

Properties
ΔE to the lowest computed polymorph: 0 meV per atom
Uncorrected energy: -10.783 eV per atom
Symmetry: I4/m, No. 87

---

(9)
A plane-wave DFT calculation with GGA-PBEsol was carried out for crystalline NiS2BrCl at its relaxed geometry.

```
NiS2BrCl
1.0
4.4673 0.0000 0.0000
0.0000 4.4673 0.0000
0.0000 0.0000 4.4469
Ni S Br Cl
1 2 1 1
Direct
0.0000 0.0000 0.0000
0.0000 0.5000 0.0000
0.5000 0.0000 0.0000
0.5000 0.5000 0.5000
0.0000 0.0000 0.5000
```

Properties
E_form (uncorrected): 0.297 eV per atom
Uncorrected energy: -3.464 eV per atom
Symmetry: P4/mmm, No. 123

---

(10)
A plane-wave DFT calculation with GGA-PBEsol was carried out for crystalline TcHgRh3 at its relaxed geometry.

```
TcHgRh3
1.0
4.5855 0.0000 0.0000
0.0000 4.5855 0.0000
0.0000 0.0000 4.5855
Tc Hg Rh
1 1 3
Direct
0.0000 0.0000 0.0000
0.5000 0.5000 0.5000
0.0000 0.0000 0.5000
0.0000 0.5000 0.0000
0.5000 0.0000 0.0000
```

Properties
Uncorrected energy: -6.049 eV per atom
Symmetry: Pm-3m, No. 221

---

(11)
A plane-wave DFT calculation with GGA-PBEsol was carried out for crystalline ZrZnBiP2 at its relaxed geometry.

```
ZrZnBiP2
1.0
4.5379 0.0000 0.0000
0.0000 4.5379 0.0000
0.0000 0.0000 5.2254
Zr Zn Bi P
1 1 1 2
Direct
0.0000 0.0000 0.0000
0.5000 0.5000 0.5000
0.5000 0.5000 0.0000
0.0000 0.5000 0.5000
0.5000 0.0000 0.5000
```

Properties
Uncorrected energy: -4.678 eV per atom
Symmetry: P4/mmm, No. 123

---

(12)
A plane-wave DFT calculation with GGA-PBEsol was carried out for crystalline Ca2TaHg at its relaxed geometry.

```
Ca2TaHg
1.0
4.9372 0.0000 0.0000
0.0000 1.6523 6.1746
0.0000 -1.6523 6.1746
Ca Ta Hg
2 1 1
Direct
0.0000 0.0000 0.0000
0.5000 0.3276 0.3276
0.0000 0.7207 0.7207
0.5000 0.6073 0.6073
```

Properties
Uncorrected energy: -3.983 eV per atom
Symmetry: Amm2, No. 38

---

(13)
A plane-wave DFT calculation with GGA-PBEsol was carried out for crystalline HfCdPCl2 at its relaxed geometry.

```
HfCdPCl2
1.0
4.8319 0.0000 0.0000
0.0000 4.8319 0.0000
0.0000 0.0000 5.1541
Hf Cd P Cl
1 1 1 2
Direct
0.0000 0.0000 0.0000
0.5000 0.5000 0.5000
0.0000 0.0000 0.5000
0.0000 0.5000 0.0000
0.5000 0.0000 0.0000
```

Properties
E_form (uncorrected): -0.616 eV per atom
Uncorrected energy: -4.918 eV per atom
Symmetry: P4/mmm, No. 123

---

(14)
A plane-wave DFT calculation with GGA-PBEsol was carried out for crystalline MnMo2 at its relaxed geometry.

```
MnMo2
1.0
-1.7639 2.2532 2.8707
1.7639 -2.2532 2.8707
1.7639 2.2532 -2.8707
Mn Mo
1 2
Direct
0.0000 0.0000 0.0000
0.2768 0.7768 0.5000
0.7232 0.2232 0.5000
```

Properties
Uncorrected energy: -10.493 eV per atom
Symmetry: Immm, No. 71

---

(15)
A plane-wave DFT calculation with GGA-PBEsol was carried out for crystalline BeAgSe2 at its relaxed geometry.

```
BeAgSe2
1.0
-2.8302 2.8302 5.0855
2.8302 -2.8302 5.0855
2.8302 2.8302 -5.0855
Be Ag Se
2 2 4
Direct
0.0000 0.0000 0.0000
0.7500 0.2500 0.5000
0.2500 0.7500 0.5000
0.5000 0.5000 0.0000
0.0740 0.1250 0.4490
0.3750 0.9260 0.0510
0.6760 0.6250 0.5510
0.8750 0.3240 0.9490
```

Properties
E_form (uncorrected): -0.292 eV per atom
Uncorrected energy: -4.045 eV per atom
Symmetry: I-42d, No. 122

---

(16)
A plane-wave DFT calculation with GGA-PBEsol was carried out for crystalline MnIn3O at its relaxed geometry.

```
MnIn3O
1.0
4.6443 0.0000 0.0000
0.0000 4.6443 0.0000
0.0000 0.0000 4.6443
Mn In O
1 3 1
Direct
0.0000 0.0000 0.0000
0.0000 0.5000 0.5000
0.5000 0.0000 0.5000
0.5000 0.5000 0.0000
0.5000 0.5000 0.5000
```

Properties
E_form (uncorrected): 0.112 eV per atom
Uncorrected energy: -4.680 eV per atom
Symmetry: Pm-3m, No. 221

---

(17)
A plane-wave DFT calculation with GGA-PBEsol was carried out for crystalline TlAg2Hg at its relaxed geometry.

```
TlAg2Hg
1.0
0.0000 3.4275 3.4275
3.4275 0.0000 3.4275
3.4275 3.4275 0.0000
Tl Ag Hg
1 2 1
Direct
0.0000 0.0000 0.0000
0.2500 0.2500 0.2500
0.5000 0.5000 0.5000
0.7500 0.7500 0.7500
```

Properties
Uncorrected energy: -2.338 eV per atom
Symmetry: F-43m, No. 216

---

(18)
A plane-wave DFT calculation with GGA-PBEsol was carried out for crystalline NaHf2InN at its relaxed geometry.

```
NaHf2InN
1.0
4.8690 0.0000 0.0000
0.0000 4.8690 0.0000
0.0000 0.0000 4.7215
Na Hf In N
1 2 1 1
Direct
0.0000 0.0000 0.0000
0.0000 0.5000 0.0000
0.5000 0.0000 0.0000
0.0000 0.0000 0.5000
0.5000 0.5000 0.5000
```

Properties
E_form (uncorrected): 2.419 eV per atom
Uncorrected energy: -4.364 eV per atom
Symmetry: P4/mmm, No. 123

---

(19)
A plane-wave DFT calculation with GGA-PBEsol was carried out for crystalline CrCo4 at its relaxed geometry.

```
CrCo4
1.0
-2.7323 2.7323 1.7157
2.7323 -2.7323 1.7157
2.7323 2.7323 -1.7157
Cr Co
1 4
Direct
0.0000 0.0000 0.0000
0.1995 0.4002 0.5997
0.4002 0.8005 0.2007
0.5998 0.1995 0.7993
0.8005 0.5998 0.4003
```

Properties
Uncorrected energy: -8.191 eV per atom
Symmetry: I4/m, No. 87

---

(20)
A plane-wave DFT calculation with GGA-PBEsol was carried out for crystalline BaPt at its relaxed geometry.

```
BaPt
1.0
5.8714 -2.0339 0.0000
5.8714 2.0339 0.0000
-2.4461 0.0000 6.8842
Ba Pt
3 3
Direct
0.0000 0.0000 0.0000
0.0320 0.0320 0.5689
0.2960 0.2960 0.2086
0.3210 0.3210 0.6875
0.6962 0.6962 0.4449
0.7186 0.7186 0.8428
```

Properties
Uncorrected energy: -4.904 eV per atom
Symmetry: Cm, No. 8